Entry 1:
Below is a relaxed Er5TmZn4 crystal, with properties calculated at the PBE-GGA level.

POSCAR file:
```
Er5TmZn4
1.0
3.5299 0.0000 0.0000
0.0000 3.5299 0.0000
0.0000 0.0000 19.1642
Er Tm Zn
5 1 4
Cartesian
1.7650 1.7650 2.5050
1.7650 1.7650 6.0461
1.7650 1.7650 9.5821
1.7650 1.7650 13.1181
1.7650 1.7650 16.6592
0.0000 0.0000 0.0000
0.0000 0.0000 4.2761
0.0000 0.0000 7.7967
0.0000 0.0000 11.3676
0.0000 0.0000 14.8881
```

Energy of formation = -273 meV/atom
Total magnetization = 0.00 Bohr magnetons per cell
Space group = P4/mmm (123)
Calculated volume = 23.88 A^3/atom
Mass density = 8.81 g cm⁻³

Entry 2:
Below is a relaxed Fe2Ni8B crystal, with properties calculated at the PBE-GGA level.

POSCAR file:
```
Fe2Ni8B
1.0
-2.3488 0.0316 -3.2589
0.6998 -4.9416 -0.5522
-3.8546 1.4113 5.2679
Fe Ni B
2 8 1
Cartesian
-4.0936 -0.6362 0.4682
-1.4101 -2.8626 0.9886
-3.3268 -1.9918 2.3785
-1.8377 -3.9370 -1.1897
-3.7633 -3.1083 0.2062
-6.0276 0.2161 1.8704
-1.7404 -0.3904 1.2506
-3.6660 0.4383 2.6465
-2.1769 -1.5069 -0.9217
0.5239 -3.7148 -0.4136
-1.1744 0.0158 -1.6294
```

Energy of formation = -55 meV/atom
Total magnetization = 8.65 Bohr magnetons per cell
Space group = Immm (71)
Calculated volume = 10.74 A^3/atom
Mass density = 8.32 g cm⁻³

Entry 3:
Below is a relaxed Ta2CoSe crystal, with properties calculated at the PBE-GGA level.

POSCAR file:
```
Ta2CoSe
1.0
-2.4938 -3.3725 1.6437
1.7595 -4.1308 0.3673
0.9169 -1.7042 4.0681
Co Se Ta
1 1 2
Cartesian
0.0913 -4.6038 3.0395
0.0457 -2.3019 1.5198
0.0000 0.0000 0.0000
0.1370 -6.9056 4.5593
```

Raw formation energy = 0.51 eV/atom
Total magnetization = 0.00 Bohr magnetons per cell
Space group = F-43m (216)
Calculated volume = 16.16 A^3/atom
Mass density = 12.84 g cm⁻³

Entry 4:
Below is a relaxed ZrAgC2 crystal, with properties calculated at the PBE-GGA level.

POSCAR file:
```
ZrAgC2
1.0
0.0000 2.9031 2.9031
2.9031 0.0000 2.9031
2.9031 2.9031 0.0000
C Zr Ag
2 1 1
Cartesian
1.4516 1.4516 1.4516
4.3547 4.3547 4.3547
0.0000 0.0000 0.0000
2.9031 2.9031 2.9031
```

Energy of formation = 1211 meV/atom
Total magnetization = 0.00 Bohr magnetons per cell
Space group = Fm-3m (225)
Relative energy among the computed polymorphs = 73 meV/atom
Calculated volume = 12.23 A^3/atom
Mass density = 7.57 g cm⁻³

Entry 5:
Below is a relaxed La3Tc crystal, with properties calculated at the PBE-GGA level.

POSCAR file:
```
La3Tc
1.0
3.5741 0.0011 0.0000
-0.9753 3.4384 0.0000
0.0000 0.0000 10.2279
La Tc
3 1
Cartesian
0.0000 0.0000 0.7525
0.0000 0.0000 4.3615
1.2994 1.7198 7.6709
1.2994 1.7198 2.5570
```

Energy of formation = 122 meV/atom
Total magnetization = 0.00 Bohr magnetons per cell
Space group = Cmmm (65)
Calculated volume = 31.43 A^3/atom
Mass density = 6.80 g cm⁻³

Entry 6:
Below is a relaxed YCd4Pd5 crystal, with properties calculated at the PBE-GGA level.

POSCAR file:
```
YCd4Pd5
1.0
3.4628 0.0000 0.0000
0.0000 3.4628 0.0000
0.0000 0.0000 15.3239
Y Cd Pd
1 4 5
Cartesian
0.0000 0.0000 0.0000
0.0000 0.0000 3.1961
0.0000 0.0000 6.1664
0.0000 0.0000 9.1575
0.0000 0.0000 12.1278
1.7314 1.7314 1.6482
1.7314 1.7314 4.6562
1.7314 1.7314 7.6619
1.7314 1.7314 10.6677
1.7314 1.7314 13.6757
```

Energy of formation = -500 meV/atom
Total magnetization = 0.00 Bohr magnetons per cell
Space group = P4/mmm (123)
Calculated volume = 18.37 A^3/atom
Mass density = 9.68 g cm⁻³

Entry 7:
Below is a relaxed Ca2Ga2Ag crystal, with properties calculated at the PBE-GGA level.

POSCAR file:
```
Ca2Ga2Ag
1.0
-0.9891 -3.6063 2.7156
-1.4951 -4.8052 -2.9934
8.7964 -4.6792 0.9224
Ca Ga Ag
4 4 2
Cartesian
0.2410 -2.9428 0.1122
4.9451 -6.4575 1.0904
6.0713 -10.1479 0.5323
1.3672 -6.6332 -0.4460
6.6536 -8.3875 3.0821
3.2843 -3.9280 -0.0877
-0.3413 -4.7031 -2.4376
3.0280 -9.1627 0.7322
2.1699 -4.9144 2.1289
4.1424 -8.1762 -1.4844
```

Energy of formation = -422 meV/atom
Total magnetization = 0.00 Bohr magnetons per cell
Space group = C2/m (12)
Relative energy among the computed polymorphs = 0 meV/atom
Calculated volume = 24.20 A^3/atom
Mass density = 4.49 g cm⁻³

Entry 8:
Below is a relaxed NdMg2Cd crystal, with properties calculated at the PBE-GGA level.

POSCAR file:
```
NdMg2Cd
1.0
-2.6132 -0.5677 -4.4098
-1.1113 -4.7226 -1.7492
-4.8672 -1.7031 0.0877
Mg Nd Cd
2 1 1
Cartesian
-2.1479 -1.7484 -1.5178
-6.4438 -5.2451 -4.5535
-4.2959 -3.4967 -3.0357
0.0000 0.0000 0.0000
```

Energy of formation = -180 meV/atom
Total magnetization = 0.00 Bohr magnetons per cell
Space group = Fm-3m (225)
Relative energy among the computed polymorphs = 52 meV/atom
Calculated volume = 24.25 A^3/atom
Mass density = 5.23 g cm⁻³

Entry 9:
Below is a relaxed K4PH5S3O16 crystal, with properties calculated at the PBE-GGA level.

POSCAR file:
```
K4PH5S3O16
1.0
7.3834 -0.0001 0.0228
0.5935 7.6451 0.0177
0.3083 2.5327 7.2697
K P H S O
4 1 5 3 16
Cartesian
1.4307 2.2710 2.4433
3.8995 3.9958 5.6556
4.4232 6.2366 1.6385
6.8617 7.8309 4.8365
7.5336 4.1361 5.8999
0.5308 4.9241 3.8145
0.9753 0.5288 0.2737
2.4484 6.9683 7.0741
5.7933 3.2646 0.2403
7.2997 9.8582 6.7418
0.7245 6.0503 1.4589
3.4255 7.7720 5.2758
4.8478 2.4237 2.0388
0.8437 4.1839 4.4649
1.3295 3.8747 6.8822
1.4871 4.7973 1.2141
1.6683 7.2162 1.3898
2.2314 8.4538 4.7664
2.9121 6.6018 6.2429
4.0089 1.5113 1.2359
4.1725 7.0221 4.2597
4.0815 3.1315 3.0710
4.2862 8.6603 6.0776
5.3097 3.6099 1.0803
6.0629 1.7709 2.5387
6.5919 2.8716 5.9237
6.7556 5.3981 6.1626
7.0330 6.2295 0.4555
7.4746 5.9836 2.8297
```

Total magnetization = 0.11 Bohr magnetons per cell
Space group = P1 (1)
Total energy = -5.73 eV per atom
Calculated volume = 14.14 A^3/atom
Mass density = 2.21 g cm⁻³

Entry 10:
Below is a relaxed Pm6SiN crystal, with properties calculated at the PBE-GGA level.

POSCAR file:
```
Pm6SiN
1.0
6.0671 -0.2025 -0.2291
-0.8639 6.0087 -0.2291
-0.8639 -0.9641 5.9353
Pm Si N
6 1 1
Cartesian
0.6017 3.3183 1.0865
0.6017 0.6714 3.4265
3.7375 1.5238 4.3907
1.1065 3.8816 4.3907
3.7375 4.1707 2.0506
3.2327 0.9605 1.0865
0.0000 0.0000 0.0000
2.1696 2.4211 2.7386
```

Raw formation energy = -0.41 eV/atom
Total magnetization = 0.00 Bohr magnetons per cell
Space group = R-3m (166)
Calculated volume = 26.57 A^3/atom
Mass density = 7.12 g cm⁻³

Entry 11:
Below is a relaxed ScGe3F crystal, with properties calculated at the PBE-GGA level.

POSCAR file:
```
ScGe3F
1.0
-2.7493 2.0061 -2.9735
-3.2740 0.1270 3.1129
1.4653 4.0478 1.3760
Sc Ge F
1 3 1
Cartesian
-2.2790 3.0905 0.7577
-1.6370 0.0635 1.5564
0.7327 2.0239 0.6880
-1.3747 1.0031 -1.4868
0.0000 0.0000 0.0000
```

Raw formation energy = -0.38 eV/atom
Total magnetization = 0.00 Bohr magnetons per cell
Space group = Pm-3m (221)
Relative energy among the computed polymorphs = 0 meV/atom
Calculated volume = 18.46 A^3/atom
Mass density = 5.07 g cm⁻³

Entry 12:
Below is a relaxed Na3AcS3 crystal, with properties calculated at the PBE-GGA level.

POSCAR file:
```
Na3AcS3
1.0
-4.3389 4.9499 -4.4208
-7.5064 1.5703 2.0148
-1.7541 7.6123 3.1342
Na Ac S
6 2 6
Cartesian
-9.0646 8.1630 1.9432
-5.7153 9.2150 -1.3774
-4.6679 6.1792 2.2334
-8.9316 7.9533 -1.5051
-7.8842 4.9175 2.1057
-4.5349 5.9695 -1.2150
-5.7037 9.7831 2.3303
-7.8958 4.3495 -1.6021
-5.7415 4.1357 0.5508
-6.6399 6.8855 -2.7479
-9.7176 5.9645 0.2404
-3.8819 8.1680 0.4878
-6.9596 7.2470 3.4762
-7.8580 9.9968 0.1775
```

Raw formation energy = -1.46 eV/atom
Total magnetization = 0.00 Bohr magnetons per cell
Space group = R-3 (148)
Calculated volume = 27.47 A^3/atom
Mass density = 3.39 g cm⁻³

Entry 13:
Below is a relaxed BeC crystal, with properties calculated at the PBE-GGA level.

POSCAR file:
```
BeC
1.0
4.2340 -0.0059 0.0085
3.3546 2.5830 0.0084
0.8782 0.2984 2.5723
Be C
2 2
Cartesian
3.7585 0.3140 0.1337
2.7381 1.4111 1.8082
4.3151 1.9467 1.2077
5.5361 2.3615 0.7427
```

Energy of formation = 525 meV/atom
Total magnetization = 0.00 Bohr magnetons per cell
Space group = I4/mmm (139)
Relative energy among the computed polymorphs = 206 meV/atom
Calculated volume = 7.04 A^3/atom
Mass density = 2.48 g cm⁻³

Entry 14:
Below is a relaxed PmHo5Cu4 crystal, with properties calculated at the PBE-GGA level.

POSCAR file:
```
PmHo5Cu4
1.0
3.4530 0.0000 0.0000
0.0000 3.4530 0.0000
0.0000 0.0000 19.1762
Pm Ho Cu
1 5 4
Cartesian
0.0000 0.0000 0.0000
1.7265 1.7265 2.6852
1.7265 1.7265 6.1137
1.7265 1.7265 9.5881
1.7265 1.7265 13.0625
1.7265 1.7265 16.4910
0.0000 0.0000 4.3793
0.0000 0.0000 7.8486
0.0000 0.0000 11.3276
0.0000 0.0000 14.7969
```

Energy of formation = -205 meV/atom
Total magnetization = 0.00 Bohr magnetons per cell
Space group = P4/mmm (123)
Calculated volume = 22.86 A^3/atom
Mass density = 8.89 g cm⁻³

Entry 15:
Below is a relaxed Sr2ScCdRe crystal, with properties calculated at the PBE-GGA level.

POSCAR file:
```
Sr2ScCdRe
1.0
6.2230 0.0000 0.0000
0.0000 4.6004 0.0000
0.0000 0.0000 6.2230
Sc Re Sr Cd
1 1 2 1
Cartesian
0.0000 0.0000 0.0000
0.0000 2.3002 0.0000
0.0000 0.0000 3.1115
3.1115 0.0000 0.0000
3.1115 2.3002 3.1115
```

Energy of formation = 989 meV/atom
Total magnetization = 0.03 Bohr magnetons per cell
Space group = P4/mmm (123)
Calculated volume = 35.63 A^3/atom
Mass density = 4.84 g cm⁻³

Entry 16:
Below is a relaxed BaBeAsBr2 crystal, with properties calculated at the PBE-GGA level.

POSCAR file:
```
BaBeAsBr2
1.0
5.3383 0.0000 0.0000
0.0000 5.3383 0.0000
0.0000 0.0000 4.5646
Be As Ba Br
1 1 1 2
Cartesian
0.0000 0.0000 0.0000
0.0000 0.0000 2.2823
2.6692 2.6692 2.2823
0.0000 2.6692 0.0000
2.6692 0.0000 0.0000
```

Raw formation energy = -0.77 eV/atom
Total magnetization = 0.86 Bohr magnetons per cell
Space group = P4/mmm (123)
Relative energy among the computed polymorphs = 0 meV/atom
Calculated volume = 26.02 A^3/atom
Mass density = 4.86 g cm⁻³

Entry 17:
Below is a relaxed InHgRh crystal, with properties calculated at the PBE-GGA level.

POSCAR file:
```
InHgRh
1.0
0.0000 3.2011 3.2011
3.2011 0.0000 3.2011
3.2011 3.2011 0.0000
In Hg Rh
1 1 1
Cartesian
3.2011 3.2011 3.2011
0.0000 0.0000 0.0000
1.6005 1.6005 1.6005
```

Energy of formation = -54 meV/atom
Total magnetization = 0.00 Bohr magnetons per cell
Space group = F-43m (216)
Relative energy among the computed polymorphs = 71 meV/atom
Calculated volume = 21.87 A^3/atom
Mass density = 10.59 g cm⁻³

Entry 18:
Below is a relaxed MgNi3H crystal, with properties calculated at the PBE-GGA level.

POSCAR file:
```
MgNi3H
1.0
2.6203 -4.2819 0.0000
2.6203 4.2819 0.0000
0.0000 0.0000 4.8423
Ni Mg H
6 2 2
Cartesian
1.4844 -1.7709 1.2106
3.7563 -1.7709 1.2106
1.4844 1.7709 3.6317
3.7563 1.7709 3.6317
0.0000 0.0000 0.0000
0.0000 0.0000 2.4211
2.6203 0.5826 1.2106
2.6203 -0.5826 3.6317
2.6203 3.1625 1.2106
2.6203 -3.1625 3.6317
```

Total magnetization = 0.00 Bohr magnetons per cell
Space group = Cmcm (63)
Relative energy among the computed polymorphs = 229 meV/atom
Calculated volume = 10.87 A^3/atom
Mass density = 6.16 g cm⁻³

Entry 19:
Below is a relaxed CdPdAu2 crystal, with properties calculated at the PBE-GGA level.

POSCAR file:
```
CdPdAu2
1.0
4.1538 0.0000 0.0000
0.0000 4.1614 -0.0049
-2.0769 -2.0856 4.1095
Cd Pd Au
1 1 2
Cartesian
0.0000 -0.0045 4.1065
2.0769 -0.0031 2.0537
0.0000 4.1611 -0.0046
0.0000 2.0789 2.0510
```

Energy of formation = -236 meV/atom
Total magnetization = 0.00 Bohr magnetons per cell
Space group = Cm (8)
Calculated volume = 17.75 A^3/atom
Mass density = 14.33 g cm⁻³

Entry 20:
Below is a relaxed Pm3DyCo2 crystal, with properties calculated at the PBE-GGA level.

POSCAR file:
```
Pm3DyCo2
1.0
3.7133 0.0000 0.7484
1.5648 8.2919 1.8222
-0.0986 -0.0590 10.0760
Pm Dy Co
6 2 4
Cartesian
1.9743 7.6633 9.3771
3.2052 0.5697 3.2695
1.8110 1.8412 10.1869
3.3684 6.3918 2.4597
2.5488 2.2910 6.5261
2.6306 5.9420 6.1205
3.9305 4.6872 9.2569
1.2489 3.5458 3.3897
1.6781 4.7558 10.8467
3.5013 3.4771 1.7999
4.2283 7.6017 7.7794
0.9511 0.6313 4.8672
```

Energy of formation = -95 meV/atom
Total magnetization = 0.00 Bohr magnetons per cell
Space group = C2/m (12)
Calculated volume = 25.93 A^3/atom
Mass density = 7.63 g cm⁻³

Entry 21:
Below is a relaxed TmZnCu6Si crystal, with properties calculated at the PBE-GGA level.

POSCAR file:
```
TmZnCu6Si
1.0
6.5177 0.0000 0.0000
0.0000 8.1980 0.0000
-3.2589 -4.0990 5.2144
Tm Zn Cu Si
2 2 12 2
Cartesian
3.2589 2.0495 2.1055
0.0000 2.0495 3.1089
1.6294 -2.0495 2.6072
-1.6294 -2.0495 2.6072
3.2589 6.1485 0.8772
0.0000 2.0495 0.0974
5.2845 0.0275 1.2786
1.2332 4.0715 1.2786
1.2332 0.0275 1.2786
5.2845 4.0715 1.2786
0.0000 -2.0495 4.3373
3.2589 2.0495 5.1170
-2.0257 4.0715 3.9358
2.0257 0.0275 3.9358
2.0257 4.0715 3.9358
-2.0257 0.0275 3.9358
3.2589 4.0990 0.0000
3.2589 0.0000 0.0000
```

Raw formation energy = 0.05 eV/atom
Total magnetization = 0.00 Bohr magnetons per cell
Space group = Imma (74)
Calculated volume = 15.48 A^3/atom
Mass density = 7.67 g cm⁻³

Entry 22:
Below is a relaxed BeGeIr2Pd crystal, with properties calculated at the PBE-GGA level.

POSCAR file:
```
BeGeIr2Pd
1.0
-3.6651 0.1114 -2.6672
0.1005 -4.5116 -0.3266
-2.6676 -0.3238 3.6521
Be Ge Ir Pd
1 1 2 1
Cartesian
-3.1161 -2.3620 0.3292
0.0000 0.0000 0.0000
-1.3338 -0.1619 1.8261
-1.8325 0.0557 -1.3336
0.0503 -2.2558 -0.1633
```

Energy of formation = 1019 meV/atom
Total magnetization = 0.00 Bohr magnetons per cell
Space group = P4/mmm (123)
Calculated volume = 18.60 A^3/atom
Mass density = 10.22 g cm⁻³

Entry 23:
Below is a relaxed Cu5SnS4 crystal, with properties calculated at the PBE-GGA level.

POSCAR file:
```
Cu5SnS4
1.0
-1.0626 3.4078 3.8505
-5.9706 -3.8424 1.7530
5.2966 -5.3880 6.2302
Cu Sn S
10 2 8
Cartesian
-0.6488 -6.9808 7.3393
3.1064 -4.5642 6.2368
-3.7611 0.5670 3.6878
-4.1782 -3.3905 3.1878
-0.4230 -0.9739 2.0853
-3.1921 -1.6592 6.4073
-0.9765 -0.2335 5.7568
2.3615 -1.7743 4.1543
0.7907 -2.0312 7.8355
-1.4248 -3.4569 8.4860
-0.8500 2.7260 3.0801
-0.5496 -3.9333 4.7620
2.5742 -0.3176 8.0715
-4.9696 -1.3010 3.0998
-1.9864 0.6189 2.2240
0.6209 1.6694 5.7739
-2.0205 -2.8767 2.0682
-2.4006 -3.7487 6.4953
0.5868 -1.8262 5.6181
1.3228 -6.2777 6.0008
```

Raw formation energy = -0.16 eV/atom
Total magnetization = 0.00 Bohr magnetons per cell
Space group = Pmmn (59)
Calculated volume = 18.80 A^3/atom
Mass density = 4.99 g cm⁻³